# 1
Density functional theory data (PBE) for a relaxed MgTaCoSn crystal.

## Properties
E above lowest polymorph, meV per atom: 0
Calculated volume, Å³/atom: 16.6
Calculated total energy, eV per cell: -23.2

a b c (Å): 4.5490 4.5490 4.5490
angles (deg): 60.00 60.00 60.00
With the nearest neighbours (Å) after each atom.
Positions (direct):
Mg  0.0000  0.0000  0.0000  4 Ta 2.79, 4 Sn 2.79
Ta  0.7500  0.7500  0.7500  4 Co 2.79, 4 Mg 2.79
Co  0.5000  0.5000  0.5000  4 Ta 2.79, 4 Sn 2.79
Sn  0.2500  0.2500  0.2500  4 Co 2.79, 4 Mg 2.79

***

# 2
Density functional theory data (PBE) for a relaxed FeTcB2 crystal.

## Properties
Calculated volume, Å³/atom: 9.7
Calculated total energy, eV per cell: -28.9

a b c (Å): 3.7985 3.7985 3.7985
angles (deg): 60.00 60.00 60.00
With the nearest neighbours (Å) after each atom.
Positions (direct):
Fe  0.0000  0.0000  0.0000  4 Tc 2.33, 4 B 2.33
Tc  0.2500  0.2500  0.2500  4 B 2.33, 4 Fe 2.33
B  0.5000  0.5000  0.5000  4 B 2.33, 4 Tc 2.33
B  0.7500  0.7500  0.7500  4 B 2.33, 4 Fe 2.33

***

# 3
Density functional theory data (PBE) for a relaxed Tb2DyIn3NiGe2 crystal.

## Properties
Calculated volume, Å³/atom: 22.0
Calculated total energy, eV per cell: -42.4

a b c (Å): 4.2497 7.3260 7.3260
angles (deg): 119.97 90.00 90.00
With the nearest neighbours (Å) after each atom.
Positions (direct):
Tb  0.0000  0.2014  0.7986  1 Ni 2.95, 4 Ge 3.08
Tb  0.0000  0.7986  0.2014  1 Ni 2.95, 4 Ge 3.08
Dy  0.0000  0.6039  0.6039  1 Ni 2.94, 4 Ge 3.08
In  0.5000  0.2017  0.4411  2 Ni 2.75, 2 Ge 2.85, 2 In 3.04
In  0.5000  0.4411  0.2017  2 Ni 2.75, 2 Ge 2.85, 2 In 3.04
In  0.5000  0.9619  0.9619  2 Ni 2.76, 2 Ge 2.85, 2 In 3.04
Ni  0.0000  0.2022  0.2022  6 In 2.75-2.76, 1 Dy 2.94, 2 Tb 2.95
Ge  0.5000  0.5350  0.8675  3 In 2.85, 2 Dy 3.08, 4 Tb 3.08
Ge  0.5000  0.8675  0.5350  3 In 2.85, 2 Dy 3.08, 4 Tb 3.08

***

# 4
Density functional theory data (PBE) for a relaxed ScReNO crystal.

## Properties
E above lowest polymorph, meV per atom: 574
Calculated volume, Å³/atom: 13.3
Calculated total energy, eV per cell: -72.3

a b c (Å): 3.2321 5.8987 5.5886
angles (deg): 90.00 90.00 90.00
With the nearest neighbours (Å) after each atom.
Positions (direct):
Sc  0.0000  0.1422  0.0000  2 O 2.14, 2 N 2.16-2.32
Sc  0.0000  0.8578  0.5000  2 O 2.14, 2 N 2.16-2.32
Re  0.5000  0.2625  0.5499  2 N 1.90, 1 O 1.97
Re  0.5000  0.7375  0.0499  2 N 1.90, 1 O 1.97
N  0.0000  0.2335  0.3746  2 Re 1.90
N  0.0000  0.7665  0.8746  2 Re 1.90
O  0.5000  0.3551  0.8882  1 Re 1.97, 2 Sc 2.14
O  0.5000  0.6449  0.3882  1 Re 1.97, 2 Sc 2.14

***

# 5
Density functional theory data (PBE) for a relaxed CsTcAuSeS2 crystal.

## Properties
Calculated volume, Å³/atom: 26.6
Calculated total energy, eV per cell: -56.4

a b c (Å): 8.8320 8.8320 10.0508
angles (deg): 90.00 90.00 155.93
With the nearest neighbours (Å) after each atom.
Positions (direct):
Cs  0.2269  0.7731  0.7500  2 S 3.52, 2 Au 3.55, 2 Se 3.61, 2 Cs 3.68
Cs  0.7731  0.2269  0.2500  2 S 3.52, 2 Au 3.55, 2 Se 3.61, 2 Cs 3.68
Tc  0.5000  0.5000  0.0000  4 S 2.49, 2 Se 2.64
Tc  0.5000  0.5000  0.5000  4 S 2.49, 2 Se 2.64
Au  0.0973  0.9027  0.2500  2 S 2.32
Au  0.9027  0.0973  0.7500  2 S 2.32
Se  0.4527  0.5473  0.2500  2 Tc 2.64
Se  0.5473  0.4527  0.7500  2 Tc 2.64
S  0.0964  0.9036  0.0189  1 Au 2.32, 2 Tc 2.49
S  0.0964  0.9036  0.4811  1 Au 2.32, 2 Tc 2.49
S  0.9036  0.0964  0.5189  1 Au 2.32, 2 Tc 2.49
S  0.9036  0.0964  0.9811  1 Au 2.32, 2 Tc 2.49

***

# 6
Density functional theory data (PBE) for a relaxed SrMgPa crystal.

## Properties
E above lowest polymorph, meV per atom: 0
Calculated volume, Å³/atom: 38.1
Calculated total energy, eV per cell: -9.5

a b c (Å): 5.4459 5.4459 5.4459
angles (deg): 60.00 60.00 60.00
With the nearest neighbours (Å) after each atom.
Positions (direct):
Sr  0.0000  0.0000  0.0000  4 Mg 3.33
Mg  0.7500  0.7500  0.7500  4 Pa 3.33, 4 Sr 3.33
Pa  0.5000  0.5000  0.5000  4 Mg 3.33

***

# 7
Density functional theory data (PBE) for a relaxed SrZrNb crystal.

## Properties
Calculated volume, Å³/atom: 29.6
Calculated total energy, eV per cell: -14.4

a b c (Å): 5.0061 5.0061 5.0061
angles (deg): 60.00 60.00 60.00
With the nearest neighbours (Å) after each atom.
Positions (direct):
Sr  0.0000  0.0000  0.0000  4 Nb 3.07, 4 Zr 3.07
Zr  0.2500  0.2500  0.2500  4 Sr 3.07
Nb  0.7500  0.7500  0.7500  4 Sr 3.07

***

# 8
Density functional theory data (PBE) for a relaxed TbYNb2Sn2 crystal.

## Properties
Calculated volume, Å³/atom: 24.0
Calculated total energy, eV per cell: -42.0

a b c (Å): 4.1975 4.1975 8.1838
angles (deg): 90.00 90.00 90.00
With the nearest neighbours (Å) after each atom.
Positions (direct):
Tb  0.0000  0.0000  0.0000  5 Sn 3.08-3.25
Y  0.5000  0.5000  0.7034  5 Sn 3.08-3.25
Nb  0.0000  0.5000  0.3518  4 Sn 2.94, 4 Nb 2.97
Nb  0.5000  0.0000  0.3518  4 Sn 2.94, 4 Nb 2.97
Sn  0.0000  0.0000  0.6034  4 Nb 2.94, 4 Y 3.08, 1 Tb 3.25
Sn  0.5000  0.5000  0.1002  4 Nb 2.94, 4 Tb 3.08, 1 Y 3.25

***

# 9
Density functional theory data (PBE) for a relaxed Y2CdGe2 crystal.

## Properties
Calculated volume, Å³/atom: 22.6
Calculated total energy, eV per cell: -53.6

a b c (Å): 7.3296 7.3296 4.2014
angles (deg): 90.00 90.00 90.00
With the nearest neighbours (Å) after each atom.
Positions (direct):
Y  0.1783  0.3217  0.0000  6 Ge 2.95-3.07
Y  0.3217  0.8217  0.0000  6 Ge 2.95-3.07
Y  0.6783  0.1783  0.0000  6 Ge 2.95-3.07
Y  0.8217  0.6783  0.0000  6 Ge 2.95-3.07
Cd  0.0000  0.0000  0.5000  4 Ge 2.91
Cd  0.5000  0.5000  0.5000  4 Ge 2.91
Ge  0.1218  0.6218  0.5000  1 Ge 2.53
Ge  0.3782  0.1218  0.5000  1 Ge 2.53
Ge  0.6218  0.8782  0.5000  1 Ge 2.53
Ge  0.8782  0.3782  0.5000  1 Ge 2.53

***

# 10
Density functional theory data (PBE) for a relaxed HoTlSeO crystal.

## Properties
E above lowest polymorph, meV per atom: 242
Calculated volume, Å³/atom: 30.2
Calculated total energy, eV per cell: -45.0

a b c (Å): 4.5119 8.1411 6.5804
angles (deg): 90.00 90.00 90.00
With the nearest neighbours (Å) after each atom.
Positions (direct):
Ho  0.0000  0.1255  0.0000  2 O 2.09
Ho  0.0000  0.8745  0.5000  2 O 2.09
Tl  0.5000  0.2957  0.5804  2 O 2.93, 2 Se 3.21-3.28
Tl  0.5000  0.7043  0.0804  2 O 2.93, 2 Se 3.21-3.28
Se  0.5000  0.3095  0.0789  2 Ho 2.76
Se  0.5000  0.6905  0.5789  2 Ho 2.76
O  0.0000  0.0820  0.6869  2 Ho 2.09
O  0.0000  0.9180  0.1869  2 Ho 2.09

***

# 11
Density functional theory data (PBE) for a relaxed TbTeAsO crystal.

## Properties
E above lowest polymorph, meV per atom: 0
Calculated volume, Å³/atom: 22.0
Calculated total energy, eV per cell: -45.2

a b c (Å): 4.0800 4.0800 10.5759
angles (deg): 90.00 90.00 90.00
With the nearest neighbours (Å) after each atom.
Positions (direct):
Tb  0.2500  0.2500  0.0982  4 O 2.29
Tb  0.7500  0.7500  0.9018  4 O 2.29
Te  0.2500  0.7500  0.5000  4 Te 2.89, 4 As 3.19
Te  0.7500  0.2500  0.5000  4 Te 2.89, 4 As 3.19
As  0.2500  0.2500  0.7319  4 Te 3.19, 4 Tb 3.40, 4 O 3.49
As  0.7500  0.7500  0.2681  4 Te 3.19, 4 Tb 3.40, 4 O 3.49
O  0.2500  0.7500  0.0000  4 Tb 2.29
O  0.7500  0.2500  0.0000  4 Tb 2.29

***

# 12
Density functional theory data (PBE) for a relaxed LaPrPCl2 crystal.

## Properties
Calculated volume, Å³/atom: 31.6
Calculated total energy, eV per cell: -28.7

a b c (Å): 4.1725 4.1725 10.4713
angles (deg): 90.00 90.00 120.00
With the nearest neighbours (Å) after each atom.
Positions (direct):
La  0.0000  0.0000  0.0000  3 P 2.92, 3 Cl 2.94
Pr  0.3333  0.6667  0.6876  3 P 2.90, 3 Cl 2.93
P  0.6667  0.3333  0.8423  3 Pr 2.90, 3 La 2.92
Cl  0.0000  0.0000  0.5286  3 Pr 2.93
Cl  0.3333  0.6667  0.1608  3 La 2.94